1.
Here is an optimized crystal structure of AlSbF3 from Alexandria. Energies are from GGA-PBE.

## Properties
The calculation puts the raw formation energy at -1.65 eV/atom. Its total magnetic moment is 0.00 μB/cell. The total energy comes out at -4.35 eV per atom.

Unit cell a=4.1330 b=4.1330 c=4.1330 alpha=90.00 beta=90.00 gamma=90.00
Last column: nearest neighbours and their distance in Å.
Space group Pm-3m (No. 221)
Unique sites:
Al1 0.0000 0.0000 0.0000 (multiplicity 1)  6 F 2.07
Sb1 0.5000 0.5000 0.5000 (multiplicity 1)  12 F 2.92
F1 0.0000 0.0000 0.5000 (multiplicity 3)  2 Al 2.07

2.
Here is an optimized crystal structure of AlSbF from Alexandria. Energies are from GGA-PBE.

## Properties
The calculation puts the raw formation energy at -1.28 eV/atom. Its total magnetic moment is 0.00 μB/cell. The total energy comes out at -4.53 eV per atom.

Unit cell a=3.3560 b=5.5268 c=6.8303 alpha=90.00 beta=90.00 gamma=90.00
Last column: nearest neighbours and their distance in Å.
Space group Amm2 (No. 38)
Unique sites:
Al1 0.0000 0.0000 0.0000 (multiplicity 2)  2 F 1.85
Sb1 0.0000 0.0000 0.6082 (multiplicity 2)  3 Al 2.68-2.86
F1 0.5000 0.0000 0.1131 (multiplicity 2)  2 Al 1.85

3.
Here is an optimized crystal structure of AlSbF from Alexandria. Energies are from GGA-PBE.

## Properties
The calculation puts the raw formation energy at -1.37 eV/atom. Its total magnetic moment is 0.00 μB/cell. The total energy comes out at -4.61 eV per atom.

Unit cell a=4.4311 b=5.2259 c=5.6219 alpha=75.83 beta=89.74 gamma=89.70
Last column: nearest neighbours and their distance in Å.
Space group P1 (No. 1)
Unique sites:
Al1 0.0000 0.0000 0.0000 (multiplicity 1)  2 F 1.80
Al2 0.2461 0.4996 0.4998 (multiplicity 1)  2 F 1.98
Sb1 0.7698 0.2493 0.3247 (multiplicity 1)  3 Al 2.68-2.94, 1 Sb 2.86
Sb2 0.7700 0.7513 0.6777 (multiplicity 1)  3 Al 2.68-2.97, 1 Sb 2.86
F1 0.2606 0.2259 0.8123 (multiplicity 1)  2 Al 1.80-1.98
F2 0.2612 0.7743 0.1881 (multiplicity 1)  2 Al 1.80-1.98

4.
Here is an optimized crystal structure of AlSbF from Alexandria. Energies are from GGA-PBE.

## Properties
The calculation puts the raw formation energy at -1.35 eV/atom. Its total magnetic moment is 0.00 μB/cell. The total energy comes out at -4.59 eV per atom.

Unit cell a=11.8255 b=3.8892 c=7.6595 alpha=90.00 beta=128.44 gamma=90.00
Last column: nearest neighbours and their distance in Å.
Space group Cm (No. 8)
Unique sites:
Al1 0.0000 0.0000 0.0000 (multiplicity 2)  3 F 1.84-1.95
Al2 0.1414 0.5000 0.6279 (multiplicity 2)  1 F 1.87
Sb1 0.2122 0.0000 0.4495 (multiplicity 2)  3 Al 2.72-2.79
Sb2 0.4609 0.5000 0.6082 (multiplicity 2)  3 Al 2.74-2.82
F1 0.3170 0.5000 0.9174 (multiplicity 2)  2 Al 1.84-1.87
F2 0.4965 0.0000 0.0095 (multiplicity 2)  2 Al 1.95

5.
Here is an optimized crystal structure of AlSbF2 from Alexandria. Energies are from GGA-PBE.

## Properties
The calculation puts the raw formation energy at -1.45 eV/atom. Its total magnetic moment is 1.55 μB/cell. The total energy comes out at -4.35 eV per atom.

Unit cell a=3.1314 b=3.1314 c=28.0802 alpha=90.00 beta=90.00 gamma=120.00
Last column: nearest neighbours and their distance in Å.
Space group R-3m (No. 166, hexagonal axes)
Unique sites:
Al1 0.0000 0.0000 0.0000 (multiplicity 3)  2 F 1.69
Sb1 0.0000 0.0000 0.5000 (multiplicity 3)  6 Sb 3.13, 6 F 3.49
F1 0.0000 0.0000 0.0603 (multiplicity 6)  1 Al 1.69

6.
Here is an optimized crystal structure of AlSbF from Alexandria. Energies are from GGA-PBE.

## Properties
The calculation puts the raw formation energy at -1.41 eV/atom. Its total magnetic moment is 0.00 μB/cell. The total energy comes out at -4.65 eV per atom.

Unit cell a=9.0334 b=7.0039 c=6.1459 alpha=90.00 beta=130.88 gamma=90.00
Last column: nearest neighbours and their distance in Å.
Space group C2 (No. 5)
Unique sites:
Al1 0.1230 0.0000 0.3704 (multiplicity 4)  2 F 1.88
Sb1 0.0131 0.6345 0.2758 (multiplicity 4)  2 Al 2.66-2.67, 1 Sb 2.92
F1 0.0000 0.0919 0.0000 (multiplicity 2)  2 Al 1.88
F2 0.0000 0.1002 0.5000 (multiplicity 2)  2 Al 1.88

7.
Here is an optimized crystal structure of AlSbF from Alexandria. Energies are from GGA-PBE.

## Properties
The calculation puts the raw formation energy at -1.28 eV/atom. Its total magnetic moment is 0.00 μB/cell. The total energy comes out at -4.53 eV per atom.

Unit cell a=3.1251 b=6.6323 c=6.7674 alpha=85.87 beta=89.98 gamma=76.45
Last column: nearest neighbours and their distance in Å.
Space group P-1 (No. 2)
Unique sites:
Al1 0.0872 0.3247 0.1086 (multiplicity 2)  2 F 1.88
Sb1 0.1140 0.2701 0.5058 (multiplicity 2)  1 Al 2.69, 1 Sb 2.96
F1 0.3446 0.8124 0.9641 (multiplicity 2)  2 Al 1.88

8.
Here is an optimized crystal structure of Al3SbF from Alexandria. Energies are from GGA-PBE.

## Properties
The calculation puts the raw formation energy at -0.23 eV/atom. Its total magnetic moment is 0.00 μB/cell. The total energy comes out at -3.67 eV per atom.

Unit cell a=4.6181 b=4.6181 c=4.6181 alpha=90.00 beta=90.00 gamma=90.00
Last column: nearest neighbours and their distance in Å.
Space group Pm-3m (No. 221)
Unique sites:
Al1 0.0000 0.0000 0.5000 (multiplicity 3)  2 F 2.31
Sb1 0.5000 0.5000 0.5000 (multiplicity 1)  12 Al 3.27
F1 0.0000 0.0000 0.0000 (multiplicity 1)  6 Al 2.31

9.
Here is an optimized crystal structure of AlSbF2 from Alexandria. Energies are from GGA-PBE.

## Properties
The calculation puts the raw formation energy at -1.66 eV/atom. Its total magnetic moment is 0.00 μB/cell. The total energy comes out at -4.57 eV per atom.

Unit cell a=8.3076 b=8.3076 c=8.3076 alpha=90.00 beta=90.00 gamma=90.00
Last column: nearest neighbours and their distance in Å.
Space group Fd-3m (No. 227, origin choice 2)
Unique sites:
Al1 0.1250 0.1250 0.1250 (multiplicity 8)  4 F 1.80
Sb1 0.1250 0.1250 0.6250 (multiplicity 8)  12 F 3.44, 4 Sb 3.60, 4 Al 3.60
F1 0.0000 0.0000 0.0000 (multiplicity 16)  2 Al 1.80

10.
Here is an optimized crystal structure of AlSb2SeF from Alexandria. Energies are from GGA-PBE.

## Properties
The calculation puts the raw formation energy at -0.64 eV/atom. Its total magnetic moment is 0.00 μB/cell. The total energy comes out at -4.11 eV per atom.

Unit cell a=5.4697 b=5.4697 c=3.6332 alpha=90.00 beta=90.00 gamma=90.00
Last column: nearest neighbours and their distance in Å.
Space group P4/mmm (No. 123)
Unique sites:
Al1 0.0000 0.0000 0.0000 (multiplicity 1)  2 F 1.82
Sb1 0.0000 0.5000 0.0000 (multiplicity 2)  2 Al 2.73
Se1 0.5000 0.5000 0.5000 (multiplicity 1)  8 Sb 3.28, 2 Se 3.63
F1 0.0000 0.0000 0.5000 (multiplicity 1)  2 Al 1.82

11.
Here is an optimized crystal structure of Al2SbSeF from Alexandria. Energies are from GGA-PBE.

## Properties
The calculation puts the raw formation energy at -0.24 eV/atom. Its total magnetic moment is 0.00 μB/cell. The total energy comes out at -3.63 eV per atom.

Unit cell a=4.2943 b=4.2943 c=5.7660 alpha=90.00 beta=90.00 gamma=90.00
Last column: nearest neighbours and their distance in Å.
Space group P4/mmm (No. 123)
Unique sites:
Al1 0.0000 0.5000 0.0000 (multiplicity 2)  2 F 2.15
Sb1 0.0000 0.0000 0.5000 (multiplicity 1)  4 Se 3.04
Se1 0.5000 0.5000 0.5000 (multiplicity 1)  2 F 2.88, 4 Sb 3.04
F1 0.5000 0.5000 0.0000 (multiplicity 1)  4 Al 2.15

12.
Here is an optimized crystal structure of AlSnSb2F from Alexandria. Energies are from GGA-PBE.

## Properties
The calculation puts the raw formation energy at 0.54 eV/atom. Its total magnetic moment is 0.00 μB/cell. The total energy comes out at -3.03 eV per atom.

Unit cell a=5.6582 b=5.6582 c=5.4376 alpha=90.00 beta=90.00 gamma=90.00
Last column: nearest neighbours and their distance in Å.
Space group P4/mmm (No. 123)
Unique sites:
Al1 0.0000 0.0000 0.0000 (multiplicity 1)  2 Sn 2.72
Sn1 0.0000 0.0000 0.5000 (multiplicity 1)  2 Al 2.72, 4 Sb 2.83
Sb1 0.0000 0.5000 0.5000 (multiplicity 2)  2 Sn 2.83
F1 0.5000 0.5000 0.0000 (multiplicity 1)  8 Sb 3.92, 4 Al 4.00